# 1
Li3Cd2Sn2 (GGA-PBE, relaxed); calculated volume = 21.09 Å³/atom; M_tot = 0.00 Bohr magnetons per cell; distance to the lowest polymorph of the same formula = 0.000 eV per atom; symmetry = C2/m (12); formation enthalpy at 0 K = -0.255 eV per atom
1.0
4.680 0.170 -1.006
-2.552 4.021 -0.516
0.714 -0.497 7.651
Sn Cd Li
2 2 3
Direct
0.144 0.569 0.713 Sn
0.856 0.431 0.287 Sn
0.548 0.294 0.842 Cd
0.452 0.706 0.158 Cd
0.000 0.000 0.000 Li
0.730 0.852 0.582 Li
0.270 0.148 0.418 Li

# 2
CsMgPO4 (GGA-PBE, relaxed); calculated volume = 18.75 Å³/atom; energy relative to the elements, uncorrected = -2.49 eV per atom; M_tot = 0.00 Bohr magnetons per cell; distance to the lowest polymorph of the same formula = 0.033 eV per atom; symmetry = P2_1/m (11)
1.0
5.105 0.000 -0.847
0.000 5.406 0.000
-3.163 0.000 10.034
Cs O P Mg
2 8 2 2
Direct
0.586 0.750 0.840 Cs
0.414 0.250 0.160 Cs
0.017 0.975 0.376 O
0.075 0.250 0.856 O
0.925 0.750 0.144 O
0.983 0.475 0.624 O
0.017 0.525 0.376 O
0.429 0.750 0.353 O
0.983 0.025 0.624 O
0.571 0.250 0.647 O
0.100 0.750 0.305 P
0.900 0.250 0.695 P
0.163 0.250 0.516 Mg
0.837 0.750 0.484 Mg

# 3
Hf2TlIr2 (GGA-PBE, relaxed); calculated volume = 19.20 Å³/atom; M_tot = 0.00 Bohr magnetons per cell; distance to the lowest polymorph of the same formula = 0.000 eV per atom; symmetry = P4/mbm (127); formation enthalpy at 0 K = -0.620 eV per atom
1.0
-3.413 3.763 5.929
-7.018 -2.063 -2.731
0.101 -2.631 1.728
Hf Ir Tl
4 4 2
Direct
0.158 0.658 0.500 Hf
0.842 0.342 0.500 Hf
0.658 0.842 0.500 Hf
0.342 0.158 0.500 Hf
0.367 0.867 0.000 Ir
0.633 0.133 0.000 Ir
0.133 0.367 0.000 Ir
0.867 0.633 0.000 Ir
0.500 0.500 0.000 Tl
0.000 0.000 0.000 Tl

# 4
Ca3Pr2WN6 (GGA-PBE, relaxed); calculated volume = 14.92 Å³/atom; energy relative to the elements, uncorrected = -1.00 eV per atom; M_tot = 0.00 Bohr magnetons per cell; symmetry = C2/m (12)
1.0
6.062 -0.013 0.004
-3.041 5.244 0.004
-1.004 -1.738 5.637
N Ca Pr W
6 3 2 1
Direct
0.217 0.217 0.784 N
0.641 0.927 0.779 N
0.927 0.641 0.779 N
0.073 0.359 0.221 N
0.783 0.783 0.216 N
0.359 0.073 0.221 N
0.843 0.157 0.500 Ca
0.157 0.843 0.500 Ca
0.500 0.500 0.500 Ca
0.332 0.668 0.000 Pr
0.668 0.332 0.000 Pr
0.000 0.000 0.000 W

# 5
Al2MoC (GGA-PBE, relaxed); calculated volume = 13.25 Å³/atom; M_tot = 0.00 Bohr magnetons per cell; symmetry = I-42d (122); formation enthalpy at 0 K = 0.376 eV per atom
1.0
-1.005 -5.472 -4.102
6.576 -1.912 0.938
2.182 -4.901 0.179
C Al Mo
2 4 2
Direct
0.250 0.750 0.500 C
0.500 0.500 0.000 C
0.875 0.776 0.750 Al
0.375 0.474 0.750 Al
0.526 0.125 0.250 Al
0.224 0.625 0.250 Al
0.000 0.000 0.000 Mo
0.750 0.250 0.500 Mo

# 6
LiZrTe2 (GGA-PBE, relaxed); calculated volume = 34.11 Å³/atom; energy relative to the elements, uncorrected = -0.62 eV per atom; M_tot = 1.97 Bohr magnetons per cell; symmetry = I-42d (122)
1.0
-3.448 4.148 3.846
-5.334 -0.884 -3.828
-6.159 -3.145 3.576
Te Li Zr
4 2 2
Direct
0.128 0.625 0.250 Te
0.622 0.125 0.250 Te
0.875 0.872 0.750 Te
0.375 0.378 0.750 Te
0.500 0.500 0.000 Li
0.250 0.750 0.500 Li
0.000 0.000 0.000 Zr
0.750 0.250 0.500 Zr

# 7
Tm4SiTe2S (GGA-PBE, relaxed); calculated volume = 25.14 Å³/atom; energy relative to the elements, uncorrected = -1.35 eV per atom; M_tot = 0.00 Bohr magnetons per cell; symmetry = P2/m (10)
1.0
4.099 0.000 0.000
0.000 7.355 -0.235
0.000 2.500 6.590
Tm S Te Si
4 1 2 1
Direct
0.500 0.713 0.265 Tm
0.000 0.290 0.240 Tm
0.000 0.710 0.760 Tm
0.500 0.287 0.735 Tm
0.500 0.500 0.000 S
0.500 0.000 0.500 Te
0.000 0.000 0.000 Te
0.000 0.500 0.500 Si

# 8
TiCu3Ge (GGA-PBE, relaxed); calculated volume = 17.05 Å³/atom; M_tot = 0.00 Bohr magnetons per cell; distance to the lowest polymorph of the same formula = 0.000 eV per atom; symmetry = Pm-3m (221); formation enthalpy at 0 K = 0.613 eV per atom
1.0
4.401 0.000 0.000
0.000 4.401 0.000
0.000 0.000 4.401
Ti Cu Ge
1 3 1
Direct
0.500 0.500 0.500 Ti
0.000 0.000 0.500 Cu
0.000 0.500 0.000 Cu
0.500 0.000 0.000 Cu
0.000 0.000 0.000 Ge